1.
Density functional theory data (PBE) for a relaxed structure of AlReW2.

## Properties
Space-group type: P2/m (10)
DOS at the Fermi energy in states/eV/cell: 2.3
Density in g cm⁻³: 15.62
Energy of formation in eV/atom: 0.00
Total DFT energy (no corrections) in eV/cell: -42.10
Magnetic moment in μB/f.u.: 0.00

Lattice parameters (Å, degrees): 4.3872 2.7259 5.3162 76.30 90.00 90.00
Last column: nearest neighbours and their distance in Å.
Sites, in units of the cell vectors:
W (0.0000, 0.9729, 0.0041)  4 W 2.61-2.77, 2 Re 2.72, 2 Al 2.75
Re (0.5000, 0.7500, 0.7500)  2 Al 2.68, 4 W 2.72, 2 Re 2.73
Al (0.5000, 0.2500, 0.2500)  2 Re 2.68, 2 Al 2.73, 4 W 2.75
W (0.0000, 0.5271, 0.4959)  4 W 2.61-2.77, 2 Re 2.72, 2 Al 2.75

***

2.
Density functional theory data (PBE) for a relaxed structure of AlReW2.

## Properties
Space-group type: P4/mmm (123)
DOS at the Fermi energy in states/eV/cell: 3.0
Density in g cm⁻³: 15.48
Energy of formation in eV/atom: 0.10
Total DFT energy (no corrections) in eV/cell: -41.68
Magnetic moment in μB/f.u.: 0.00

Lattice parameters (Å, degrees): 2.8368 2.8368 7.7426 90.00 90.00 90.00
Last column: nearest neighbours and their distance in Å.
Sites, in units of the cell vectors:
Al (0.5000, 0.5000, 0.2500)  8 W 2.81, 4 Al 2.84
W (0.0000, 0.0000, 0.5036)  4 Re 2.77, 4 Al 2.81, 4 W 2.84
Re (0.5000, 0.5000, 0.7500)  8 W 2.77, 4 Re 2.84
W (0.0000, 0.0000, 0.9964)  4 Re 2.77, 4 Al 2.81, 4 W 2.84

***

The highest energy of formation belongs to which entry?
number 2